# 1
VASP calculation (PBE) on crystalline CaFe2BiPd at its relaxed geometry.

Values from the calculation:
Raw total energy (eV per atom): -4.2713
DOS at the Fermi energy (states/eV/f.u.): 7.8
Formation energy (meV/atom): 1329
M_tot (μB/cell): 5.38

Structure (extended XYZ):
```
5
Lattice="-0.7183 2.2575 4.1760 0.2784 -4.2974 2.3710 4.7393 0.5829 0.5001" Properties=species:S:1:pos:R:3 pbc="T T T"
Ca 0.0000 0.0000 0.0000
Bi 2.1497 -0.7285 3.5236
Pd 0.1392 -2.1487 1.1855
Fe 2.3697 0.2915 0.2500
Fe -0.3592 1.1287 2.0880
```

# 2
VASP calculation (PBE) on crystalline RbCa2FeBi at its relaxed geometry.

Values from the calculation:
Raw total energy (eV per atom): -3.0491
DOS at the Fermi energy (states/eV/f.u.): 4.8
Formation energy (meV/atom): 414
M_tot (μB/cell): 2.11

Structure (extended XYZ):
```
5
Lattice="-1.1222 5.3952 0.6613 -4.8053 -0.6294 -3.0195 -2.7802 -1.1500 4.6640" Properties=species:S:1:pos:R:3 pbc="T T T"
Ca -1.3901 -0.5750 2.3320
Ca -0.5611 2.6976 0.3307
Bi -4.3538 1.8079 1.1529
Rb -2.4027 -0.3147 -1.5098
Fe 0.0000 0.0000 0.0000
```